Density functional theory data (meta-GGA SCAN) for a crystal of NaMgPO4 relaxed with PBEsol.

formation energy from raw total energies = -2.7618 eV per atom
SG = P2_12_12_1
total magnetic moment = 0.0 μB/cell

a = 6.824 Å, b = 8.818 Å, c = 15.297 Å
α = 90.00°, β = 90.00°, γ = 90.00°
Sites, in units of the cell vectors:
Na  0.018  0.102  0.322
Na  0.033  0.099  0.989
Na  0.050  0.609  0.842
Na  0.450  0.391  0.342
Na  0.467  0.901  0.489
Na  0.482  0.898  0.822
Na  0.518  0.398  0.678
Na  0.533  0.401  0.011
Na  0.550  0.891  0.158
Na  0.950  0.109  0.658
Na  0.967  0.599  0.511
Na  0.982  0.602  0.178
Mg  0.199  0.263  0.510
Mg  0.206  0.771  0.653
Mg  0.225  0.753  0.329
Mg  0.275  0.247  0.829
Mg  0.294  0.229  0.153
Mg  0.301  0.737  0.010
Mg  0.699  0.237  0.490
Mg  0.706  0.729  0.347
Mg  0.725  0.747  0.671
Mg  0.775  0.253  0.171
Mg  0.794  0.271  0.847
Mg  0.801  0.763  0.990
P  0.006  0.434  0.683
P  0.029  0.430  0.014
P  0.037  0.929  0.151
P  0.463  0.071  0.651
P  0.471  0.570  0.514
P  0.494  0.566  0.183
P  0.506  0.066  0.317
P  0.529  0.070  0.986
P  0.537  0.571  0.849
P  0.963  0.429  0.349
P  0.971  0.930  0.486
P  0.994  0.934  0.817
O  0.006  0.373  0.588
O  0.018  0.111  0.817
O  0.022  0.107  0.148
O  0.022  0.369  0.918
O  0.040  0.870  0.246
O  0.041  0.608  0.016
O  0.142  0.363  0.397
O  0.154  0.882  0.435
O  0.170  0.864  0.769
O  0.196  0.395  0.733
O  0.213  0.365  0.058
O  0.224  0.886  0.101
O  0.276  0.114  0.601
O  0.287  0.635  0.558
O  0.304  0.605  0.233
O  0.330  0.136  0.269
O  0.346  0.118  0.935
O  0.358  0.637  0.897
O  0.459  0.392  0.516
O  0.460  0.130  0.746
O  0.478  0.631  0.418
O  0.478  0.893  0.648
O  0.482  0.889  0.317
O  0.494  0.627  0.088
O  0.506  0.127  0.412
O  0.518  0.389  0.183
O  0.522  0.131  0.082
O  0.522  0.393  0.852
O  0.540  0.630  0.754
O  0.541  0.892  0.984
O  0.642  0.137  0.603
O  0.654  0.618  0.565
O  0.670  0.636  0.231
O  0.696  0.105  0.267
O  0.713  0.135  0.942
O  0.724  0.614  0.899
O  0.776  0.386  0.399
O  0.787  0.865  0.442
O  0.804  0.895  0.767
O  0.830  0.364  0.731
O  0.846  0.382  0.065
O  0.858  0.863  0.103
O  0.959  0.108  0.484
O  0.960  0.370  0.254
O  0.978  0.607  0.352
O  0.978  0.869  0.582
O  0.982  0.611  0.683
O  0.994  0.873  0.912

Density functional theory data (meta-GGA SCAN) for a crystal of NaMg2S3O12 relaxed with PBEsol.

formation energy from raw total energies = -2.0127 eV per atom
SG = C2/c
total magnetic moment = 2.3 μB/cell

a = 8.604 Å, b = 8.604 Å, c = 8.898 Å
α = 118.90°, β = 118.90°, γ = 59.98°
Sites, in units of the cell vectors:
Na  0.000  0.500  0.000
Na  0.500  0.000  0.500
Mg  0.148  0.648  0.444
Mg  0.352  0.852  0.056
Mg  0.648  0.148  0.944
Mg  0.852  0.352  0.556
S  0.045  0.955  0.250
S  0.250  0.455  0.750
S  0.455  0.250  0.250
S  0.545  0.750  0.750
S  0.750  0.545  0.250
S  0.955  0.045  0.750
O  0.011  0.111  0.414
O  0.069  0.774  0.256
O  0.087  0.431  0.743
O  0.111  0.011  0.914
O  0.208  0.489  0.586
O  0.226  0.931  0.244
O  0.275  0.413  0.257
O  0.292  0.611  0.915
O  0.389  0.708  0.585
O  0.413  0.275  0.757
O  0.431  0.087  0.243
O  0.489  0.208  0.086
O  0.511  0.792  0.914
O  0.569  0.913  0.757
O  0.587  0.725  0.243
O  0.611  0.292  0.415
O  0.708  0.389  0.085
O  0.725  0.587  0.743
O  0.774  0.069  0.756
O  0.792  0.511  0.414
O  0.889  0.989  0.086
O  0.913  0.569  0.257
O  0.931  0.226  0.744
O  0.989  0.889  0.586

Density functional theory data (meta-GGA SCAN) for a crystal of NaMg30SbO32 relaxed with PBEsol.

formation energy from raw total energies = -2.8692 eV per atom
SG = P4/mmm
total magnetic moment = 0.0 μB/cell

a = 8.524 Å, b = 8.524 Å, c = 8.523 Å
α = 90.00°, β = 90.00°, γ = 90.00°
Sites, in units of the cell vectors:
Na  0.000  0.000  0.000
Mg  0.000  0.000  0.500
Mg  0.000  0.247  0.249
Mg  0.000  0.247  0.751
Mg  0.000  0.500  0.000
Mg  0.000  0.500  0.500
Mg  0.000  0.753  0.249
Mg  0.000  0.753  0.751
Mg  0.242  0.242  0.000
Mg  0.242  0.758  0.000
Mg  0.243  0.500  0.256
Mg  0.243  0.500  0.744
Mg  0.247  0.000  0.249
Mg  0.247  0.000  0.751
Mg  0.248  0.248  0.500
Mg  0.248  0.752  0.500
Mg  0.500  0.000  0.000
Mg  0.500  0.000  0.500
Mg  0.500  0.243  0.256
Mg  0.500  0.243  0.744
Mg  0.500  0.500  0.500
Mg  0.500  0.757  0.256
Mg  0.500  0.757  0.744
Mg  0.752  0.248  0.500
Mg  0.752  0.752  0.500
Mg  0.753  0.000  0.249
Mg  0.753  0.000  0.751
Mg  0.757  0.500  0.256
Mg  0.757  0.500  0.744
Mg  0.758  0.242  0.000
Mg  0.758  0.758  0.000
Sb  0.500  0.500  0.000
O  0.000  0.000  0.263
O  0.000  0.000  0.737
O  0.000  0.252  0.500
O  0.000  0.262  0.000
O  0.000  0.500  0.254
O  0.000  0.500  0.746
O  0.000  0.738  0.000
O  0.000  0.748  0.500
O  0.239  0.500  0.000
O  0.250  0.500  0.500
O  0.251  0.251  0.249
O  0.251  0.251  0.751
O  0.251  0.749  0.249
O  0.251  0.749  0.751
O  0.252  0.000  0.500
O  0.262  0.000  0.000
O  0.500  0.000  0.254
O  0.500  0.000  0.746
O  0.500  0.239  0.000
O  0.500  0.250  0.500
O  0.500  0.500  0.263
O  0.500  0.500  0.737
O  0.500  0.750  0.500
O  0.500  0.761  0.000
O  0.738  0.000  0.000
O  0.748  0.000  0.500
O  0.749  0.251  0.249
O  0.749  0.251  0.751
O  0.749  0.749  0.249
O  0.749  0.749  0.751
O  0.750  0.500  0.500
O  0.761  0.500  0.000